Computed, not measured: an optimized crystal structure of SiW2 at the GGA-PBEsol level of DFT.

Spin magnetization (μB/atom): 0.00
Space-group type: I4_1/amd (141)
Uncorrected formation energy (eV per atom): 0.494
Electronic total energy (Ry/atom): -0.78107

Unit cell a=11.100 b=11.100 c=11.100 alpha=165.01 beta=165.01 gamma=21.25
Positions (direct):
Si 0.375 0.625 0.750
Si 0.625 0.375 0.250
W 0.050 0.800 0.250
W 0.200 0.950 0.250
W 0.800 0.050 0.750
W 0.950 0.200 0.750